DFT (GGA-PBE) results for a geometry-optimized NdErCdOs structure.

Summary:
total energy: -22.003 eV/f.u.
total magnetization: 0.00 μB per cell
energy relative to the elements: -0.1318 eV per atom
ρ: 11.0 Mg/m³

abc: 5.079 5.079 5.079
angles: 60.00 60.00 60.00
Sites, in units of the cell vectors:
Nd1 0.750 0.750 0.750
Cd1 0.500 0.500 0.500
Os1 0.000 0.000 0.000
Er1 0.250 0.250 0.250

DFT (GGA-PBE) results for a geometry-optimized NdErCdPb structure.

Summary:
total energy: -15.511 eV/f.u.
total magnetization: 0.00 μB per cell
energy relative to the elements: -0.3891 eV per atom
ρ: 9.4 Mg/m³

abc: 5.403 5.403 5.403
angles: 60.00 60.00 60.00
Sites, in units of the cell vectors:
Pb1 0.250 0.250 0.250
Cd1 0.750 0.750 0.750
Nd1 0.000 0.000 0.000
Er1 0.500 0.500 0.500

DFT (GGA-PBE) results for a geometry-optimized NdErCd2Pd4 structure.

Summary:
total energy: -37.470 eV/f.u.
total magnetization: 0.00 μB per cell
energy relative to the elements: -0.6923 eV per atom
ρ: 10.0 Mg/m³

abc: 4.817 4.817 8.433
angles: 73.41 73.41 60.00
Sites, in units of the cell vectors:
Nd1 0.000 0.000 0.000
Er1 0.500 0.500 0.500
Cd1 0.751 0.751 0.747
Cd2 0.249 0.249 0.253
Pd1 0.380 0.380 0.861
Pd2 0.873 0.873 0.381
Pd3 0.127 0.127 0.619
Pd4 0.620 0.620 0.139

DFT (GGA-PBE) results for a geometry-optimized NdErCdPd structure.

Summary:
total energy: -17.468 eV/f.u.
total magnetization: 0.00 μB per cell
energy relative to the elements: -0.5074 eV per atom
ρ: 8.9 Mg/m³

abc: 5.189 5.189 5.189
angles: 60.00 60.00 60.00
Sites, in units of the cell vectors:
Cd1 0.250 0.250 0.250
Nd1 0.000 0.000 0.000
Pd1 0.750 0.750 0.750
Er1 0.500 0.500 0.500

> What is the total magnetization in the first record?

0.00 μB per cell

> The lowest total energy belongs to which entry?

NdErCd2Pd4